First-principles (PBE-GGA) data for crystalline CoIrN at its relaxed geometry, as listed in Alexandria.

The value obtained for the polymorph energy (0 for the lowest one) is 0.316 eV per formula unit. For the uncorrected energy, the calculation gives -7.75 eV per atom. As for the energy relative to the elements, uncorrected: 0.347 eV/atom.

Cell and atoms, written as CIF:
```
data_CoIrN
_chemical_formula_sum 'Co1 Ir1 N1'
_cell_length_a 2.654
_cell_length_b 2.694
_cell_length_c 4.690
_cell_angle_alpha 90.00
_cell_angle_beta 90.00
_cell_angle_gamma 90.00
_symmetry_space_group_name_H-M 'P m m 2'
_symmetry_Int_Tables_number 25
loop_
_symmetry_equiv_pos_as_xyz
'x,y,z'
'-x,-y,z'
'-x,y,z'
'x,-y,z'
loop_
_atom_site_label
_atom_site_fract_x
_atom_site_fract_y
_atom_site_fract_z
Co1 0.000 0.000 0.000
Ir1 0.500 0.500 0.596
N1 0.500 0.000 0.277
```

First-principles (PBE-GGA) data for crystalline Tl2Sb2S at its relaxed geometry, as listed in Alexandria.

The value obtained for the polymorph energy (0 for the lowest one) is 0.960 eV per formula unit. For the uncorrected energy, the calculation gives -3.16 eV per atom. As for the energy relative to the elements, uncorrected: 0.259 eV/atom.

Cell and atoms, written as CIF:
```
data_Tl2Sb2S
_chemical_formula_sum 'Tl4 Sb4 S2'
_cell_length_a 7.931
_cell_length_b 7.931
_cell_length_c 5.084
_cell_angle_alpha 90.00
_cell_angle_beta 90.00
_cell_angle_gamma 90.00
_symmetry_space_group_name_H-M 'P 4/m b m'
_symmetry_Int_Tables_number 127
_symmetry_space_group_name_Hall '-P 4 2ab'
loop_
_atom_site_label
_atom_site_fract_x
_atom_site_fract_y
_atom_site_fract_z
Tl1 0.188 0.312 0.000
Sb1 0.120 0.620 0.500
S1 0.000 0.000 0.000
```

First-principles (PBE-GGA) data for crystalline Bi3MoC at its relaxed geometry, as listed in Alexandria.

The value obtained for the polymorph energy (0 for the lowest one) is 1.697 eV per formula unit. For the formation energy, the calculation gives 8.82 eV per formula unit. For the uncorrected energy, the calculation gives -4.58 eV per atom.

Cell and atoms, written as CIF:
```
data_Bi3MoC
_chemical_formula_sum 'Bi3 Mo1 C1'
_cell_length_a 5.353
_cell_length_b 5.353
_cell_length_c 5.353
_cell_angle_alpha 90.00
_cell_angle_beta 90.00
_cell_angle_gamma 90.00
_symmetry_space_group_name_H-M 'P m -3 m'
_symmetry_Int_Tables_number 221
_symmetry_space_group_name_Hall '-P 4 2 3'
loop_
_atom_site_label
_atom_site_fract_x
_atom_site_fract_y
_atom_site_fract_z
Bi1 0.000 0.000 0.500
Mo1 0.000 0.000 0.000
C1 0.500 0.500 0.500
```

First-principles (PBE-GGA) data for crystalline Zn2NiCl at its relaxed geometry, as listed in Alexandria.

The value obtained for the polymorph energy (0 for the lowest one) is 0.195 eV per formula unit. For the uncorrected energy, the calculation gives -2.70 eV per atom. As for the energy relative to the elements, uncorrected: -0.155 eV/atom.

Cell and atoms, written as CIF:
```
data_Zn2NiCl
_chemical_formula_sum 'Zn4 Ni2 Cl2'
_cell_length_a 8.370
_cell_length_b 3.263
_cell_length_c 5.820
_cell_angle_alpha 90.00
_cell_angle_beta 100.67
_cell_angle_gamma 90.00
_symmetry_space_group_name_H-M 'C 1 m 1'
_symmetry_Int_Tables_number 8
loop_
_symmetry_equiv_pos_as_xyz
'x,y,z'
'x,-y,z'
'x+1/2,y+1/2,z'
'x+1/2,-y+1/2,z'
loop_
_atom_site_label
_atom_site_fract_x
_atom_site_fract_y
_atom_site_fract_z
Zn1 0.000 0.000 0.000
Zn2 0.239 0.500 0.180
Ni1 0.466 0.000 0.293
Cl1 0.024 0.000 0.606
```

First-principles (PBE-GGA) data for crystalline CaErZnNi at its relaxed geometry, as listed in Alexandria.

For the formation energy, the calculation gives -0.83 eV per formula unit. For the uncorrected energy, the calculation gives -3.61 eV per atom.

Cell and atoms, written as CIF:
```
data_CaErZnNi
_chemical_formula_sum 'Ca4 Er4 Zn4 Ni4'
_cell_length_a 6.947
_cell_length_b 6.947
_cell_length_c 6.947
_cell_angle_alpha 90.00
_cell_angle_beta 90.00
_cell_angle_gamma 90.00
_symmetry_space_group_name_H-M 'F -4 3 m'
_symmetry_Int_Tables_number 216
_symmetry_space_group_name_Hall 'F -4 2 3'
loop_
_atom_site_label
_atom_site_fract_x
_atom_site_fract_y
_atom_site_fract_z
Ca1 0.000 0.000 0.000
Er1 0.000 0.000 0.500
Zn1 0.250 0.250 0.250
Ni1 0.250 0.250 0.750
```

First-principles (PBE-GGA) data for crystalline IClF3 at its relaxed geometry, as listed in Alexandria.

The value obtained for the polymorph energy (0 for the lowest one) is 5.750 eV per formula unit. For the uncorrected energy, the calculation gives -1.77 eV per atom. As for the energy relative to the elements, uncorrected: 0.028 eV/atom.

Cell and atoms, written as CIF:
```
data_IClF3
_chemical_formula_sum 'I1 Cl1 F3'
_cell_length_a 4.455
_cell_length_b 4.455
_cell_length_c 4.455
_cell_angle_alpha 90.00
_cell_angle_beta 90.00
_cell_angle_gamma 90.00
_symmetry_space_group_name_H-M 'P m -3 m'
_symmetry_Int_Tables_number 221
_symmetry_space_group_name_Hall '-P 4 2 3'
loop_
_atom_site_label
_atom_site_fract_x
_atom_site_fract_y
_atom_site_fract_z
I1 0.000 0.000 0.000
Cl1 0.500 0.500 0.500
F1 0.000 0.500 0.500
```

First-principles (PBE-GGA) data for crystalline LuPuCoCu at its relaxed geometry, as listed in Alexandria.

For the formation energy, the calculation gives -0.20 eV per formula unit. For the uncorrected energy, the calculation gives -7.56 eV per atom.

Cell and atoms, written as CIF:
```
data_LuPuCoCu
_chemical_formula_sum 'Lu4 Pu4 Co4 Cu4'
_cell_length_a 6.723
_cell_length_b 6.723
_cell_length_c 6.723
_cell_angle_alpha 90.00
_cell_angle_beta 90.00
_cell_angle_gamma 90.00
_symmetry_space_group_name_H-M 'F -4 3 m'
_symmetry_Int_Tables_number 216
_symmetry_space_group_name_Hall 'F -4 2 3'
loop_
_atom_site_label
_atom_site_fract_x
_atom_site_fract_y
_atom_site_fract_z
Lu1 0.000 0.000 0.000
Pu1 0.000 0.000 0.500
Co1 0.250 0.250 0.750
Cu1 0.250 0.250 0.250
```

First-principles (PBE-GGA) data for crystalline Hf2AlS6 at its relaxed geometry, as listed in Alexandria.

For the uncorrected energy, the calculation gives -6.53 eV per atom. As for the energy relative to the elements, uncorrected: -1.150 eV/atom.

Cell and atoms, written as CIF:
```
data_Hf2AlS6
_chemical_formula_sum 'Hf4 Al2 S12'
_cell_length_a 5.923
_cell_length_b 5.923
_cell_length_c 11.057
_cell_angle_alpha 90.00
_cell_angle_beta 90.00
_cell_angle_gamma 90.00
_symmetry_space_group_name_H-M 'P 42/m n m'
_symmetry_Int_Tables_number 136
_symmetry_space_group_name_Hall '-P 4n 2n'
loop_
_atom_site_label
_atom_site_fract_x
_atom_site_fract_y
_atom_site_fract_z
Hf1 0.000 0.000 0.165
Al1 0.000 0.000 0.500
S1 0.194 0.194 0.340
S2 0.206 0.206 0.000
```